MgAl2Sn2 after structural relaxation, computed with PBE-GGA.

Unit cell a=4.7789 b=4.7789 c=6.5362 alpha=68.56 beta=68.56 gamma=90.00
Element x y z (fractional)
Sn 0.2500 0.7500 0.5000
Sn 0.7500 0.2500 0.5000
Al 0.6118 0.6118 0.7763
Al 0.3882 0.3882 0.2237
Mg 0.0000 0.0000 0.0000

D(E_F) = 2.378 states/eV per cell
Total DFT energy (no corrections) = -3.23 eV per atom
Size of the total moment = 0.000 μB/cell



MgAlSn after structural relaxation, computed with PBE-GGA.

Unit cell a=3.0370 b=4.5170 c=9.8158 alpha=90.00 beta=90.07 gamma=90.00
Element x y z (fractional)
Al 0.1592 0.0000 0.8095
Al 0.1592 0.5000 0.3095
Mg 0.6589 0.0000 0.1765
Mg 0.6589 0.5000 0.6765
Sn 0.1565 0.5000 0.0000
Sn 0.1565 0.0000 0.5000

D(E_F) = 2.351 states/eV per cell
Total DFT energy (no corrections) = -3.09 eV per atom
Size of the total moment = 0.000 μB/cell



MgAlSn after structural relaxation, computed with PBE-GGA.

Unit cell a=5.2592 b=5.6450 c=5.6724 alpha=58.09 beta=78.58 gamma=67.61
Element x y z (fractional)
Al 0.5000 0.0000 0.5000
Al 0.0000 0.5000 0.5000
Mg 0.9993 0.8447 0.8184
Mg 0.0007 0.1553 0.1816
Sn 0.4971 0.3373 0.8327
Sn 0.5029 0.6627 0.1673

D(E_F) = 1.653 states/eV per cell
Total DFT energy (no corrections) = -3.09 eV per atom
Size of the total moment = 0.000 μB/cell



Q: Look up the size of the total moment of the first one.
A: 0.000 μB/cell



Q: Look up the size of the total moment of the third one.
A: 0.000 μB/cell